1.
## K2ZnCoIr (PBE)

Data for a relaxed K2ZnCoIr crystal.

CIF file:
```
data_K2ZnCoIr
_space_group_name_H-M_alt 'P 4/m m m'
_space_group_IT_number 123
_space_group_name_Hall '-P 4 2'
_cell_length_a 6.276
_cell_length_b 6.276
_cell_length_c 4.485
_cell_angle_alpha 90.00
_cell_angle_beta 90.00
_cell_angle_gamma 90.00
loop_
_atom_site_label
_atom_site_type_symbol
_atom_site_fract_x
_atom_site_fract_y
_atom_site_fract_z
K1 K 0.000 0.500 0.000
Zn1 Zn 0.000 0.000 0.500
Co1 Co 0.500 0.500 0.500
Ir1 Ir 0.500 0.500 0.000
```

Output
energy of formation from the pure elements = 0.867 eV per atom

***

2.
## CrCu2Cl6 (PBE)

Data for a relaxed CrCu2Cl6 crystal.

CIF file:
```
data_CrCu2Cl6
_space_group_name_H-M_alt 'C 1 2/c 1'
_space_group_IT_number 15
_cell_length_a 13.596
_cell_length_b 11.110
_cell_length_c 6.142
_cell_angle_alpha 90.00
_cell_angle_beta 97.83
_cell_angle_gamma 90.00
loop_
_space_group_symop_operation_xyz
'x,y,z'
'-x,-y,-z'
'-x,y,-z+1/2'
'x,-y,z+1/2'
'x+1/2,y+1/2,z'
'-x+1/2,-y+1/2,-z'
'-x+1/2,y+1/2,-z+1/2'
'x+1/2,-y+1/2,z+1/2'
loop_
_atom_site_label
_atom_site_type_symbol
_atom_site_fract_x
_atom_site_fract_y
_atom_site_fract_z
Cr1 Cr 0.000 0.080 0.250
Cu1 Cu 0.108 0.410 0.265
Cl1 Cl 0.097 0.069 0.600
Cl2 Cl 0.109 0.225 0.139
Cl3 Cl 0.124 0.410 0.630
```

Output
raw formation energy = -0.7465 eV/atom

***

3.
## Zr2I4Br (PBE)

Data for a relaxed Zr2I4Br crystal.

CIF file:
```
data_Zr2I4Br
_space_group_name_H-M_alt 'P 1'
_space_group_IT_number 1
_cell_length_a 7.597
_cell_length_b 7.597
_cell_length_c 11.006
_cell_angle_alpha 106.63
_cell_angle_beta 106.62
_cell_angle_gamma 99.84
loop_
_space_group_symop_operation_xyz
'x,y,z'
loop_
_atom_site_label
_atom_site_type_symbol
_atom_site_fract_x
_atom_site_fract_y
_atom_site_fract_z
Zr1 Zr 0.000 0.000 0.000
Zr2 Zr 0.041 0.041 0.743
Zr3 Zr 0.121 0.622 0.243
Zr4 Zr 0.419 0.919 0.500
I1 I 0.052 0.708 0.501
I2 I 0.212 0.367 0.001
I3 I 0.333 0.988 0.243
I4 I 0.370 0.245 0.694
I5 I 0.673 0.829 0.743
I6 I 0.796 0.670 0.049
I7 I 0.798 0.172 0.549
I8 I 0.869 0.243 0.194
Br1 Br 0.213 0.828 0.872
Br2 Br 0.463 0.578 0.372
```

Output
raw formation energy = -0.8319 eV/atom

***

no.,total magnetic moment (μB per formula unit),V (Å³ per cell)
1,1.90,176.6
2,1.95,919.0
3,1.04,560.7